Material: InW
Method: DFT, PBE-GGA
State: relaxed

Summary:
E_form ... 0.656 eV per atom
Magnetization ... 0.00 μB per atom
Raw total energy ... -28.76 eV/cell
Fermi-level density of states ... 0.833 states/eV/f.u.

Unit cell a=4.854 b=2.858 c=5.325 alpha=90.00 beta=90.00 gamma=90.00
Space group Pmma (No. 51)
Symmetry-distinct sites (fractional):
In 0.250 0.000 0.156 [2 per cell]
W 0.250 0.500 0.637 [2 per cell]

=====

Material: TbZrPb
Method: DFT, PBE-GGA
State: relaxed

Summary:
E_form ... -0.403 eV per atom
Magnetization ... 0.00 μB per atom
Raw total energy ... -36.19 eV/cell
Fermi-level density of states ... 2.405 states/eV/f.u.

Unit cell a=4.414 b=4.414 c=8.372 alpha=90.00 beta=90.00 gamma=90.00
Space group P4/nmm (No. 129, origin choice 2)
Symmetry-distinct sites (fractional):
Tb 0.250 0.250 0.163 [2 per cell]
Zr 0.250 0.750 0.500 [2 per cell]
Pb 0.250 0.250 0.772 [2 per cell]

=====

Material: Ac7PrEr2
Method: DFT, PBE-GGA
State: relaxed

Summary:
E_form ... 0.616 eV per atom
Magnetization ... 0.00 μB per atom
Raw total energy ... -73.00 eV/cell
Fermi-level density of states ... 14.222 states/eV/f.u.

Unit cell a=10.166 b=16.404 c=6.149 alpha=90.00 beta=90.00 gamma=90.00
Space group Cmmm (No. 65)
Symmetry-distinct sites (fractional):
Ac 0.000 0.000 0.000 [2 per cell]
Ac 0.000 0.256 0.500 [4 per cell]
Ac 0.185 0.374 0.000 [8 per cell]
Pr 0.000 0.500 0.500 [2 per cell]
Er 0.000 0.201 0.000 [4 per cell]

=====

Material: RbH6N2Cl
Method: DFT, PBE-GGA
State: relaxed

Summary:
Magnetization ... 0.00 μB per atom
Raw total energy ... -184.57 eV/cell
Fermi-level density of states ... 0.000 states/eV/f.u.

Unit cell a=11.265 b=8.324 c=6.882 alpha=90.00 beta=113.67 gamma=90.00
Space group C2/c (No. 15)
Symmetry-distinct sites (fractional):
Rb 0.000 0.190 0.250 [4 per cell]
H 0.139 0.400 0.044 [8 per cell]
H 0.183 0.462 0.731 [8 per cell]
H 0.213 0.104 0.772 [8 per cell]
N 0.192 0.419 0.203 [8 per cell]
Cl 0.000 0.203 0.750 [4 per cell]

=====

Material: Dy6Ho16Tm7
Method: DFT, PBE-GGA
State: relaxed

Summary:
E_form ... 0.241 eV per atom
Magnetization ... 0.02 μB per atom
Raw total energy ... -500.65 eV/cell
Fermi-level density of states ... 54.502 states/eV/f.u.

Unit cell a=15.533 b=15.533 c=15.533 alpha=90.00 beta=90.00 gamma=90.00
Space group Fm-3m (No. 225)
Symmetry-distinct sites (fractional):
Dy 0.000 0.000 0.220 [24 per cell]
Ho 0.122 0.122 0.378 [32 per cell]
Ho 0.152 0.152 0.152 [32 per cell]
Tm 0.000 0.000 0.500 [4 per cell]
Tm 0.000 0.250 0.250 [24 per cell]

=====

Material: AlSbI2Cl
Method: DFT, PBE-GGA
State: relaxed

Summary:
Energy relative to the elements, uncorrected ... 0.1078 eV/atom
Magnetization ... 0.09 μB per atom
Raw total energy ... -12.27 eV/cell
Fermi-level density of states ... 3.405 states/eV/f.u.

Unit cell a=5.410 b=5.410 c=5.594 alpha=90.00 beta=90.00 gamma=90.00
Space group P4/mmm (No. 123)
Symmetry-distinct sites (fractional):
Al 0.000 0.000 0.000 [1 per cell]
Sb 0.000 0.000 0.500 [1 per cell]
I 0.000 0.500 0.000 [2 per cell]
Cl 0.500 0.500 0.500 [1 per cell]